# 1
VASP calculation (GGA-PBE) on a relaxed structure of TmCdRe.

The calculation puts the formation energy at 1234 meV per atom. The energy above the lowest structure with this stoichiometry comes out at 285 meV/atom.

It has space group F-43m (No. 216), with a = 6.6954 Å, b = 6.6954 Å, c = 6.6954 Å, α = 90.00°, β = 90.00° and γ = 90.00°. The distinct sites, in fractional coordinates, are Tm at (0.0000, 0.0000, 0.0000), Cd at (0.2500, 0.2500, 0.7500) and Re at (0.2500, 0.2500, 0.2500).

---

# 2
VASP calculation (GGA-PBE) on a relaxed structure of TmCdRe.

The calculation puts the formation energy at 948 meV per atom. The energy above the lowest structure with this stoichiometry comes out at 0 meV/atom.

It has space group F-43m (No. 216), with a = 6.5260 Å, b = 6.5260 Å, c = 6.5260 Å, α = 90.00°, β = 90.00° and γ = 90.00°. The distinct sites, in fractional coordinates, are Tm at (0.0000, 0.0000, 0.0000), Cd at (0.2500, 0.2500, 0.7500) and Re at (0.0000, 0.0000, 0.5000).

---

# 3
VASP calculation (GGA-PBE) on a relaxed structure of CdReW2.

The calculation puts the formation energy at 644 meV per atom.

It has space group F-43m (No. 216), with a = 6.4163 Å, b = 6.4163 Å, c = 6.4163 Å, α = 90.00°, β = 90.00° and γ = 90.00°. The distinct sites, in fractional coordinates, are Cd at (0.0000, 0.0000, 0.0000), Re at (0.2500, 0.2500, 0.7500), W at (0.0000, 0.0000, 0.5000) and W at (0.2500, 0.2500, 0.2500).

---

# 4
VASP calculation (GGA-PBE) on a relaxed structure of YCdRe2.

The calculation puts the formation energy at 460 meV per atom.

It has space group F-43m (No. 216), with a = 6.6477 Å, b = 6.6477 Å, c = 6.6477 Å, α = 90.00°, β = 90.00° and γ = 90.00°. The distinct sites, in fractional coordinates, are Y at (0.0000, 0.0000, 0.0000), Cd at (0.2500, 0.2500, 0.2500), Re at (0.0000, 0.0000, 0.5000) and Re at (0.2500, 0.2500, 0.7500).

---

# 5
VASP calculation (GGA-PBE) on a relaxed structure of ZrCdRe2.

The calculation puts the formation energy at 371 meV per atom.

It has space group F-43m (No. 216), with a = 6.5341 Å, b = 6.5341 Å, c = 6.5341 Å, α = 90.00°, β = 90.00° and γ = 90.00°. The distinct sites, in fractional coordinates, are Zr at (0.0000, 0.0000, 0.0000), Cd at (0.2500, 0.2500, 0.2500), Re at (0.0000, 0.0000, 0.5000) and Re at (0.2500, 0.2500, 0.7500).

---

# 6
VASP calculation (GGA-PBE) on a relaxed structure of Cd2S.

The energy above the lowest structure with this stoichiometry comes out at 222 meV/atom.

It has space group Fd-3m (No. 227, origin choice 2), with a = 8.0008 Å, b = 8.0008 Å, c = 8.0008 Å, α = 90.00°, β = 90.00° and γ = 90.00°. The distinct sites, in fractional coordinates, are Cd at (0.0000, 0.0000, 0.0000) and S at (0.1250, 0.1250, 0.6250).

---

# 7
VASP calculation (GGA-PBE) on a relaxed structure of Cd2S.

The energy above the lowest structure with this stoichiometry comes out at 0 meV/atom.

It has space group Fm-3m (No. 225), with a = 6.6420 Å, b = 6.6420 Å, c = 6.6420 Å, α = 90.00°, β = 90.00° and γ = 90.00°. The distinct sites, in fractional coordinates, are Cd at (0.2500, 0.2500, 0.2500) and S at (0.0000, 0.0000, 0.0000).

---

# 8
VASP calculation (GGA-PBE) on a relaxed structure of Cd2S.

The energy above the lowest structure with this stoichiometry comes out at 29 meV/atom.

It has space group P4_2/mnm (No. 136), with a = 6.3540 Å, b = 6.3540 Å, c = 4.0665 Å, α = 90.00°, β = 90.00° and γ = 90.00°. The distinct sites, in fractional coordinates, are Cd at (0.2048, 0.2048, 0.0000) and S at (0.0000, 0.0000, 0.5000).

---

# 9
VASP calculation (GGA-PBE) on a relaxed structure of Cd2S.

The energy above the lowest structure with this stoichiometry comes out at 311 meV/atom.

It has space group Fd-3m (No. 227, origin choice 2), with a = 12.1736 Å, b = 12.1736 Å, c = 12.1736 Å, α = 90.00°, β = 90.00° and γ = 90.00°. The distinct sites, in fractional coordinates, are Cd at (0.0000, 0.0000, 0.0000) and S at (0.1250, 0.1250, 0.1250).

---

# 10
VASP calculation (GGA-PBE) on a relaxed structure of Sc2CdS4.

As for the electronic total energy: -5.633 eV/atom.

It has space group I-4 (No. 82), with a = 5.7710 Å, b = 5.7710 Å, c = 11.2405 Å, α = 90.00°, β = 90.00° and γ = 90.00°. The distinct sites, in fractional coordinates, are Sc at (0.0000, 0.0000, 0.0000), Sc at (0.0000, 0.5000, 0.2500), Cd at (0.0000, 0.5000, 0.7500) and S at (0.2408, 0.7416, 0.1206).

---

# 11
VASP calculation (GGA-PBE) on a relaxed structure of ScTlCdS3.

The energy above the lowest structure with this stoichiometry comes out at 0 meV/atom.

It has space group P2_1/m (No. 11), with a = 8.3249 Å, b = 3.9595 Å, c = 9.8456 Å, α = 90.00°, β = 109.07° and γ = 90.00°. The distinct sites, in fractional coordinates, are Sc at (0.1737, 0.2500, 0.1275), Tl at (0.2653, 0.7500, 0.7733), Cd at (0.4283, 0.7500, 0.3784), S at (0.0294, 0.2500, 0.8599), S at (0.2619, 0.2500, 0.4290) and S at (0.3809, 0.7500, 0.1147).

---

# 12
VASP calculation (GGA-PBE) on a relaxed structure of ScTlCdS3.

The energy above the lowest structure with this stoichiometry comes out at 13 meV/atom.

It has space group Pnma (No. 62), with a = 10.4262 Å, b = 3.9084 Å, c = 14.3854 Å, α = 90.00°, β = 90.00° and γ = 90.00°. The distinct sites, in fractional coordinates, are Sc at (0.0035, 0.2500, 0.2504), Tl at (0.2490, 0.2500, 0.5255), Cd at (0.2466, 0.2500, 0.8112), S at (0.0259, 0.2500, 0.8710), S at (0.0332, 0.7500, 0.3721) and S at (0.2464, 0.7500, 0.6934).

---

# 13
VASP calculation (GGA-PBE) on a relaxed structure of ScTlCdS3.

The energy above the lowest structure with this stoichiometry comes out at 14 meV/atom.

It has space group Cmcm (No. 63), with a = 3.8973 Å, b = 14.3092 Å, c = 10.4294 Å, α = 90.00°, β = 90.00° and γ = 90.00°. The distinct sites, in fractional coordinates, are Sc at (0.0000, 0.0000, 0.0000), Tl at (0.0000, 0.2746, 0.2500), Cd at (0.0000, 0.4378, 0.7500), S at (0.0000, 0.0561, 0.7500) and S at (0.0000, 0.3775, 0.5288).

---

# 14
VASP calculation (GGA-PBE) on a relaxed structure of ZnCdSeS.

The energy above the lowest structure with this stoichiometry comes out at 0 meV/atom.

It has space group P3m1 (No. 156), with a = 4.1186 Å, b = 4.1186 Å, c = 6.7257 Å, α = 90.00°, β = 90.00° and γ = 120.00°. The distinct sites, in fractional coordinates, are Zn at (0.0000, 0.0000, 0.0000), Cd at (0.3333, 0.6667, 0.4835), Se at (0.3333, 0.6667, 0.8819) and S at (0.0000, 0.0000, 0.3493).

---

# 15
VASP calculation (GGA-PBE) on a relaxed structure of Cd2SiS4.

The energy above the lowest structure with this stoichiometry comes out at 51 meV/atom.

It has space group Fddd (No. 70, origin choice 2), with a = 7.4707 Å, b = 12.0504 Å, c = 13.8603 Å, α = 90.00°, β = 90.00° and γ = 90.00°. The distinct sites, in fractional coordinates, are Cd at (0.1250, 0.3268, 0.1250), Si at (0.1250, 0.1250, 0.6250) and S at (0.0320, 0.2595, 0.9562).

---

# 16
VASP calculation (GGA-PBE) on a relaxed structure of Cd2SiS4.

The energy above the lowest structure with this stoichiometry comes out at 0 meV/atom.

It has space group Pnma (No. 62), with a = 13.1642 Å, b = 7.7818 Å, c = 6.1307 Å, α = 90.00°, β = 90.00° and γ = 90.00°. The distinct sites, in fractional coordinates, are Cd at (0.0000, 0.0000, 0.0000), Cd at (0.2262, 0.2500, 0.4826), Si at (0.0923, 0.7500, 0.4070), S at (0.0596, 0.2500, 0.7300), S at (0.0949, 0.7500, 0.7516) and S at (0.1670, 0.5330, 0.2564).

---

# 17
VASP calculation (GGA-PBE) on a relaxed structure of SmTlCdS3.

The energy above the lowest structure with this stoichiometry comes out at 7 meV/atom.

It has space group Pnma (No. 62), with a = 11.9684 Å, b = 4.2064 Å, c = 12.2775 Å, α = 90.00°, β = 90.00° and γ = 90.00°. The distinct sites, in fractional coordinates, are Sm at (0.0291, 0.2500, 0.1640), Tl at (0.1510, 0.2500, 0.5131), Cd at (0.2492, 0.7500, 0.3017), S at (0.0368, 0.7500, 0.3218), S at (0.0935, 0.2500, 0.9376) and S at (0.2351, 0.7500, 0.6808).

---

# 18
VASP calculation (GGA-PBE) on a relaxed structure of SmTlCdS3.

The energy above the lowest structure with this stoichiometry comes out at 0 meV/atom.

It has space group P2_1/m (No. 11), with a = 8.6061 Å, b = 4.1935 Å, c = 9.9177 Å, α = 90.00°, β = 105.55° and γ = 90.00°. The distinct sites, in fractional coordinates, are Sm at (0.1766, 0.2500, 0.1362), Tl at (0.2795, 0.7500, 0.7801), Cd at (0.4222, 0.7500, 0.3843), S at (0.0397, 0.2500, 0.8513), S at (0.2807, 0.2500, 0.4477) and S at (0.3936, 0.7500, 0.1239).

---

# 19
VASP calculation (GGA-PBE) on a relaxed structure of SmTlCdS3.

The energy above the lowest structure with this stoichiometry comes out at 3 meV/atom.

It has space group Cmcm (No. 63), with a = 4.1625 Å, b = 14.2155 Å, c = 10.9228 Å, α = 90.00°, β = 90.00° and γ = 90.00°. The distinct sites, in fractional coordinates, are Sm at (0.0000, 0.0000, 0.0000), Tl at (0.0000, 0.2592, 0.2500), Cd at (0.0000, 0.4557, 0.7500), S at (0.0000, 0.0659, 0.7500) and S at (0.0000, 0.3707, 0.5505).

---

# 20
VASP calculation (GGA-PBE) on a relaxed structure of Cd2SnS4.

As for the electronic total energy: -3.690 eV/atom.

It has space group I-4 (No. 82), with a = 5.6830 Å, b = 5.6830 Å, c = 11.4674 Å, α = 90.00°, β = 90.00° and γ = 90.00°. The distinct sites, in fractional coordinates, are Cd at (0.0000, 0.0000, 0.0000), Cd at (0.0000, 0.5000, 0.2500), Sn at (0.0000, 0.0000, 0.5000) and S at (0.2203, 0.7433, 0.6296).